1.
CdGaBr4 after structural relaxation. Source: Alexandria via LeMat-Bulk, functional PBE-GGA.

Cell lengths 3.994, 6.999, 13.668 Å; angles 88.55, 90.00, 90.00 degrees
Fractional coordinates of all 12 atoms:
1 Cd 0.000 0.000 0.500
2 Cd 0.500 0.500 0.000
3 Ga 0.500 0.500 0.500
4 Ga 0.000 0.000 0.000
5 Br 0.500 0.173 0.384
6 Br 0.000 0.327 0.116
7 Br 0.500 0.827 0.616
8 Br 0.000 0.673 0.884
9 Br 0.000 0.671 0.384
10 Br 0.500 0.829 0.116
11 Br 0.000 0.329 0.616
12 Br 0.500 0.171 0.884

Properties
For the density of states at the Fermi level, the calculation gives 8.14 states/eV/cell. Its total energy is -29.4 eV/cell. For the spin magnetization, the calculation gives 0.000 μB/atom. The symmetry is C2/m. The calculation puts the uncorrected formation energy at -0.68 eV/atom.



2.
Cd2GaBr8 after structural relaxation. Source: Alexandria via LeMat-Bulk, functional PBE-GGA.

Cell lengths 7.371, 7.492, 9.994 Å; angles 107.83, 90.00, 119.47 degrees
Last column: magnetic moment on the atom in μB.
Fractional coordinates of all 11 atoms:
1 Br 0.112 0.750 0.863  0.01
2 Br 0.361 0.250 0.137  0.01
3 Br 0.182 0.365 0.561  0.00
4 Br 0.818 0.635 0.439  0.00
5 Br 0.639 0.750 0.863  0.01
6 Br 0.888 0.250 0.137  0.01
7 Br 0.447 0.894 0.345  0.37
8 Br 0.553 0.106 0.655  0.37
9 Ga 0.000 0.000 0.000  0.00
10 Cd 0.249 0.499 0.353  0.00
11 Cd 0.751 0.501 0.647  0.00

Properties
Its total energy is -24.4 eV/cell. For the spin magnetization, the calculation gives 0.094 μB/atom. The symmetry is C2/m. The calculation puts the uncorrected formation energy at -0.56 eV/atom.



3.
Cd3Ga2Br8 after structural relaxation. Source: Alexandria via LeMat-Bulk, functional PBE-GGA.

Cell lengths 7.103, 8.316, 8.316 Å; angles 60.40, 88.63, 88.63 degrees
Fractional coordinates of all 13 atoms:
1 Cd 0.500 0.000 0.000
2 Cd 0.000 0.747 0.253
3 Cd 0.000 0.253 0.747
4 Ga 0.472 0.719 0.719
5 Ga 0.528 0.281 0.281
6 Br 0.871 0.386 0.386
7 Br 0.129 0.614 0.614
8 Br 0.838 0.892 0.892
9 Br 0.162 0.108 0.108
10 Br 0.667 0.345 0.877
11 Br 0.667 0.877 0.345
12 Br 0.333 0.123 0.655
13 Br 0.333 0.655 0.123

Properties
For the density of states at the Fermi level, the calculation gives 0.00 states/eV/cell. Its total energy is -31.8 eV/cell. For the spin magnetization, the calculation gives 0.000 μB/atom. The symmetry is C2/m. The calculation puts the uncorrected formation energy at -0.74 eV/atom.



4.
CdGa3Br after structural relaxation. Source: Alexandria via LeMat-Bulk, functional PBE-GGA.

Cell lengths 5.587, 5.587, 5.587 Å; angles 90.00, 90.00, 90.00 degrees
Fractional coordinates of all 5 atoms:
1 Ga 0.000 0.500 0.000
2 Ga 0.000 0.000 0.500
3 Ga 0.500 0.000 0.000
4 Br 0.000 0.000 0.000
5 Cd 0.500 0.500 0.500

Properties
For the density of states at the Fermi level, the calculation gives 2.77 states/eV/cell. The value obtained for the excess energy over the best structure of this formula in the dataset is 1.080 eV/f.u. Its total energy is -9.7 eV/cell. For the spin magnetization, the calculation gives 0.000 μB/atom. The symmetry is Pm-3m. The calculation puts the uncorrected formation energy at 0.39 eV/atom.



5.
Cd2GaBr after structural relaxation. Source: Alexandria via LeMat-Bulk, functional PBE-GGA.

Cell lengths 5.362, 5.362, 5.362 Å; angles 60.00, 60.00, 60.00 degrees
Fractional coordinates of all 4 atoms:
1 Ga 0.000 0.000 0.000
2 Br 0.500 0.500 0.500
3 Cd 0.250 0.250 0.250
4 Cd 0.750 0.750 0.750

Properties
For the density of states at the Fermi level, the calculation gives 0.61 states/eV/cell. The value obtained for the excess energy over the best structure of this formula in the dataset is 0.946 eV/f.u. Its total energy is -6.3 eV/cell. For the spin magnetization, the calculation gives 0.000 μB/atom. The symmetry is Fm-3m. The calculation puts the uncorrected formation energy at 0.07 eV/atom.



6.
CdGaHg2Br after structural relaxation. Source: Alexandria via LeMat-Bulk, functional PBE-GGA.

Cell lengths 5.317, 5.317, 5.299 Å; angles 90.00, 90.00, 90.00 degrees
Fractional coordinates of all 5 atoms:
1 Ga 0.000 0.000 0.000
2 Hg 0.000 0.500 0.000
3 Hg 0.500 0.000 0.000
4 Br 0.500 0.500 0.500
5 Cd 0.000 0.000 0.500

Properties
For the density of states at the Fermi level, the calculation gives 3.42 states/eV/cell. Its total energy is -6.6 eV/cell. For the spin magnetization, the calculation gives 0.000 μB/atom. The symmetry is P4/mmm. The calculation puts the uncorrected formation energy at -0.08 eV/atom.



7.
CdGaHg2Br after structural relaxation. Source: Alexandria via LeMat-Bulk, functional PBE-GGA.

Cell lengths 5.469, 5.469, 5.491 Å; angles 90.00, 90.00, 90.00 degrees
Fractional coordinates of all 5 atoms:
1 Ga 0.000 0.000 0.000
2 Hg 0.000 0.500 0.000
3 Hg 0.500 0.000 0.000
4 Br 0.000 0.000 0.500
5 Cd 0.500 0.500 0.500

Properties
For the density of states at the Fermi level, the calculation gives 1.36 states/eV/cell. Its total energy is -6.6 eV/cell. For the spin magnetization, the calculation gives 0.000 μB/atom. The symmetry is P4/mmm. The calculation puts the uncorrected formation energy at -0.08 eV/atom.



8.
CdGaIBr4 after structural relaxation. Source: Alexandria via LeMat-Bulk, functional PBE-GGA.

Cell lengths 9.352, 9.352, 10.155 Å; angles 84.89, 84.89, 48.87 degrees
Fractional coordinates of all 14 atoms:
1 Cd 0.092 0.092 0.896
2 Cd 0.908 0.908 0.104
3 Ga 0.631 0.631 0.719
4 Ga 0.369 0.369 0.281
5 I 0.062 0.062 0.177
6 I 0.938 0.938 0.823
7 Br 0.326 0.326 0.503
8 Br 0.674 0.674 0.497
9 Br 0.062 0.547 0.177
10 Br 0.502 0.502 0.214
11 Br 0.453 0.938 0.823
12 Br 0.547 0.062 0.177
13 Br 0.498 0.498 0.786
14 Br 0.938 0.453 0.823

Properties
For the density of states at the Fermi level, the calculation gives 0.00 states/eV/cell. Its total energy is -35.0 eV/cell. For the spin magnetization, the calculation gives 0.000 μB/atom. The symmetry is C2/m. The calculation puts the uncorrected formation energy at -0.76 eV/atom.



9.
CdGa2I2Br6 after structural relaxation. Source: Alexandria via LeMat-Bulk, functional PBE-GGA.

Cell lengths 6.781, 6.781, 12.357 Å; angles 90.00, 90.00, 120.00 degrees
Fractional coordinates of all 11 atoms:
1 Cd 0.000 0.000 0.000
2 Ga 0.333 0.667 0.794
3 Ga 0.667 0.333 0.206
4 I 0.333 0.667 0.592
5 I 0.667 0.333 0.408
6 Br 0.338 0.336 0.864
7 Br 0.998 0.662 0.864
8 Br 0.664 0.002 0.864
9 Br 0.662 0.664 0.136
10 Br 0.002 0.338 0.136
11 Br 0.336 0.998 0.136

Properties
For the density of states at the Fermi level, the calculation gives 0.00 states/eV/cell. Its total energy is -28.0 eV/cell. For the spin magnetization, the calculation gives 0.000 μB/atom. The symmetry is P-3. The calculation puts the uncorrected formation energy at -0.72 eV/atom.



10.
Cd2InGaBr6 after structural relaxation. Source: Alexandria via LeMat-Bulk, functional PBE-GGA.

Cell lengths 7.714, 10.100, 10.100 Å; angles 85.86, 82.18, 82.18 degrees
Fractional coordinates of all 20 atoms:
1 Cd 0.232 0.792 0.615
2 Cd 0.268 0.385 0.208
3 Cd 0.768 0.208 0.385
4 Cd 0.732 0.615 0.792
5 In 0.250 0.900 0.100
6 In 0.750 0.100 0.900
7 Ga 0.250 0.279 0.721
8 Ga 0.750 0.721 0.279
9 Br 0.161 0.986 0.781
10 Br 0.339 0.219 0.014
11 Br 0.839 0.014 0.219
12 Br 0.661 0.781 0.986
13 Br 0.389 0.874 0.385
14 Br 0.111 0.615 0.126
15 Br 0.611 0.126 0.615
16 Br 0.889 0.385 0.874
17 Br 0.924 0.712 0.574
18 Br 0.576 0.426 0.288
19 Br 0.076 0.288 0.426
20 Br 0.424 0.574 0.712

Properties
For the density of states at the Fermi level, the calculation gives 0.00 states/eV/cell. Its total energy is -49.8 eV/cell. For the spin magnetization, the calculation gives 0.000 μB/atom. The symmetry is C2/c. The calculation puts the uncorrected formation energy at -0.73 eV/atom.



11.
CdInGaBr4 after structural relaxation. Source: Alexandria via LeMat-Bulk, functional PBE-GGA.

Cell lengths 7.724, 7.802, 8.857 Å; angles 90.00, 107.60, 90.00 degrees
Fractional coordinates of all 14 atoms:
1 Cd 0.257 0.750 0.315
2 Cd 0.743 0.250 0.685
3 In 0.767 0.750 0.967
4 In 0.233 0.250 0.033
5 Ga 0.788 0.750 0.476
6 Ga 0.212 0.250 0.524
7 Br 0.980 0.507 0.741
8 Br 0.020 0.007 0.259
9 Br 0.020 0.493 0.259
10 Br 0.980 0.993 0.741
11 Br 0.440 0.750 0.112
12 Br 0.560 0.250 0.888
13 Br 0.477 0.750 0.607
14 Br 0.523 0.250 0.393

Properties
For the density of states at the Fermi level, the calculation gives 0.00 states/eV/cell. Its total energy is -36.3 eV/cell. For the spin magnetization, the calculation gives 0.000 μB/atom. The symmetry is P2_1/m. The calculation puts the uncorrected formation energy at -0.68 eV/atom.



12.
KCdGa2Br8 after structural relaxation. Source: Alexandria via LeMat-Bulk, functional PBE-GGA.

Cell lengths 7.128, 7.128, 10.176 Å; angles 90.00, 90.00, 120.00 degrees
Fractional coordinates of all 12 atoms:
1 K 0.000 0.000 0.000
2 Cd 0.000 0.000 0.500
3 Ga 0.667 0.333 0.231
4 Ga 0.333 0.667 0.769
5 Br 0.333 0.667 0.001
6 Br 0.337 0.309 0.307
7 Br 0.691 0.028 0.307
8 Br 0.667 0.333 0.999
9 Br 0.309 0.972 0.693
10 Br 0.663 0.691 0.693
11 Br 0.028 0.337 0.693
12 Br 0.972 0.663 0.307

Properties
For the density of states at the Fermi level, the calculation gives 4.46 states/eV/cell. Its total energy is -32.2 eV/cell. For the spin magnetization, the calculation gives 0.000 μB/atom. The symmetry is P-3. The calculation puts the uncorrected formation energy at -0.90 eV/atom.